# CoOsSe2

A relaxed structure of CoOsSe2 (PBE, Alexandria via LeMat-Bulk).

Output
- Formation energy (no corrections): 0.73 eV per atom
- Relative energy among the computed polymorphs: 0.778 eV/atom

Unit cell a=4.7574 b=4.7574 c=4.1637 alpha=66.58 beta=66.58 gamma=107.63
Last column: nearest neighbours and their distance in Å.
Positions (direct):
1 Os 0.0000 0.5000 0.5000  4 Se 2.46
2 Co 0.5000 0.0000 0.5000  4 Se 2.46
3 Se 0.5000 0.5000 0.0000  2 Os 2.46, 2 Co 2.46
4 Se 0.0000 0.0000 0.0000  2 Co 2.46, 2 Os 2.46

***

# Sr2PdPb3

A relaxed structure of Sr2PdPb3 (PBE, Alexandria via LeMat-Bulk).

Output
- ΔE_f: -0.486 eV per atom

Unit cell a=5.1593 b=6.4511 c=6.5329 alpha=78.23 beta=66.74 gamma=66.43
Last column: nearest neighbours and their distance in Å.
Positions (direct):
1 Pd 0.1824 0.3631 0.2720  4 Pb 2.81-2.94
2 Sr 0.4364 0.8178 0.3093  1 Pd 3.22, 5 Pb 3.45-3.59
3 Sr 0.5418 0.2067 0.7097  9 Pb 3.53-3.95, 3 Pd 3.55-3.76
4 Pb 0.1590 0.7447 0.9373  1 Pd 2.94, 3 Pb 3.20-3.25
5 Pb 0.8152 0.2545 0.1152  2 Pd 2.83
6 Pb 0.8652 0.6132 0.6564  1 Pd 2.81